Entry one
PBE LaPm3Y3, relaxed; SG = R-3, No. 148
1.0
4.394 2.537 7.444
-4.394 2.537 7.444
0.000 -5.074 7.444
La Pm Y
2 6 6
Direct
0.154 0.154 0.154 La
0.846 0.846 0.846 La
0.069 0.222 0.569 Pm
0.222 0.569 0.069 Pm
0.431 0.931 0.778 Pm
0.569 0.069 0.222 Pm
0.778 0.431 0.931 Pm
0.931 0.778 0.431 Pm
0.214 0.437 0.671 Y
0.329 0.786 0.563 Y
0.437 0.671 0.214 Y
0.563 0.329 0.786 Y
0.671 0.214 0.437 Y
0.786 0.563 0.329 Y


Entry two
PBE LaPm3Y3, relaxed; SG = P6_3/m, No. 176
1.0
9.769 0.000 0.000
-4.885 8.460 0.000
0.000 0.000 5.811
La Pm Y
2 6 6
Direct
0.333 0.667 0.250 La
0.667 0.333 0.750 La
0.049 0.811 0.250 Pm
0.189 0.239 0.250 Pm
0.239 0.049 0.750 Pm
0.761 0.951 0.250 Pm
0.811 0.761 0.750 Pm
0.951 0.189 0.750 Pm
0.096 0.620 0.750 Y
0.380 0.476 0.750 Y
0.476 0.096 0.250 Y
0.524 0.904 0.750 Y
0.620 0.524 0.250 Y
0.904 0.380 0.250 Y


Best to worst by energy: entry two, entry one.


Entry one
PBE La7PmY12, relaxed; SG = R-3, No. 148
1.0
6.084 3.512 5.485
-6.084 3.512 5.485
0.000 -7.025 5.485
La Pm Y
7 1 12
Direct
0.000 0.000 0.000 La
0.106 0.418 0.338 La
0.338 0.106 0.418 La
0.418 0.338 0.106 La
0.582 0.662 0.894 La
0.662 0.894 0.582 La
0.894 0.582 0.662 La
0.500 0.500 0.500 Pm
0.003 0.883 0.364 Y
0.117 0.636 0.997 Y
0.226 0.357 0.754 Y
0.246 0.774 0.643 Y
0.357 0.754 0.226 Y
0.364 0.003 0.883 Y
0.636 0.997 0.117 Y
0.643 0.246 0.774 Y
0.754 0.226 0.357 Y
0.774 0.643 0.246 Y
0.883 0.364 0.003 Y
0.997 0.117 0.636 Y


Entry two
PBE La7PmY12, relaxed; SG = Im-3m, No. 229
1.0
-5.697 5.697 5.697
5.697 -5.697 5.697
5.697 5.697 -5.697
La Pm Y
7 1 12
Direct
0.000 0.000 0.500 La
0.000 0.500 0.000 La
0.000 0.500 0.500 La
0.500 0.000 0.000 La
0.500 0.000 0.500 La
0.500 0.500 0.000 La
0.500 0.500 0.500 La
0.000 0.000 0.000 Pm
0.000 0.248 0.752 Y
0.000 0.752 0.248 Y
0.248 0.000 0.752 Y
0.248 0.248 0.497 Y
0.248 0.497 0.248 Y
0.248 0.752 0.000 Y
0.497 0.248 0.248 Y
0.503 0.752 0.752 Y
0.752 0.000 0.248 Y
0.752 0.248 0.000 Y
0.752 0.503 0.752 Y
0.752 0.752 0.503 Y


Best to worst by energy: entry one, entry two.


Entry one
PBE La3Pm2Y2, relaxed; SG = C2/m, No. 12
1.0
8.981 -1.784 0.000
8.981 1.784 0.000
-4.190 0.000 7.654
La Pm Y
3 2 2
Direct
0.000 0.000 0.000 La
0.213 0.213 0.296 La
0.787 0.787 0.704 La
0.435 0.435 0.589 Pm
0.565 0.565 0.411 Pm
0.145 0.145 0.830 Y
0.855 0.855 0.170 Y


Entry two
PBE La3Pm2Y2, relaxed; SG = C2/m, No. 12
1.0
11.983 -2.863 0.000
11.983 2.863 0.000
-0.542 0.000 3.564
La Pm Y
3 2 2
Direct
0.000 0.000 0.000 La
0.279 0.279 0.778 La
0.721 0.721 0.222 La
0.422 0.422 0.422 Pm
0.578 0.578 0.578 Pm
0.143 0.143 0.143 Y
0.857 0.857 0.857 Y


Best to worst by energy: entry two, entry one.


Entry one
PBE La5Pm12Y2, relaxed; SG = C2/m, No. 12
1.0
6.600 -5.897 0.000
6.600 5.897 0.000
-4.202 0.000 8.619
La Pm Y
5 12 2
Direct
0.000 0.000 0.000 La
0.193 0.193 0.826 La
0.314 0.314 0.272 La
0.686 0.686 0.728 La
0.807 0.807 0.174 La
0.054 0.557 0.691 Pm
0.119 0.119 0.443 Pm
0.172 0.617 0.081 Pm
0.383 0.828 0.919 Pm
0.424 0.424 0.710 Pm
0.443 0.946 0.309 Pm
0.557 0.054 0.691 Pm
0.576 0.576 0.290 Pm
0.617 0.172 0.081 Pm
0.828 0.383 0.919 Pm
0.881 0.881 0.557 Pm
0.946 0.443 0.309 Pm
0.265 0.735 0.500 Y
0.735 0.265 0.500 Y


Entry two
PBE La5Pm12Y2, relaxed; SG = C2/m, No. 12
1.0
8.025 -5.256 0.000
8.025 5.256 0.000
-0.155 0.000 8.005
La Pm Y
5 12 2
Direct
0.000 0.000 0.000 La
0.245 0.245 0.981 La
0.350 0.350 0.422 La
0.650 0.650 0.578 La
0.755 0.755 0.019 La
0.038 0.576 0.704 Pm
0.147 0.147 0.612 Pm
0.172 0.618 0.109 Pm
0.382 0.828 0.891 Pm
0.424 0.962 0.296 Pm
0.450 0.450 0.794 Pm
0.550 0.550 0.206 Pm
0.576 0.038 0.704 Pm
0.618 0.172 0.109 Pm
0.828 0.382 0.891 Pm
0.853 0.853 0.388 Pm
0.962 0.424 0.296 Pm
0.242 0.758 0.500 Y
0.758 0.242 0.500 Y


Best to worst by energy: entry one, entry two.